Record 1
K2CaCo after structural relaxation, computed with PBE-GGA.

The mass density comes out at 2.1 Mg/m³. Its relative energy among the computed polymorphs is 280.9 meV per atom. The calculation puts the formation enthalpy at 0 K at 0.79 eV/atom.

Cell lengths 5.841, 5.841, 5.841 Å; angles 119.97, 119.97, 90.05 degrees
Element x y z (fractional)
K 0.000 0.000 0.000
K 0.750 0.250 0.500
Ca 0.500 0.500 0.000
Co 0.250 0.750 0.500

***

Record 2
KCa4Co after structural relaxation, computed with PBE-GGA.

The mass density comes out at 1.7 Mg/m³. The calculation puts the formation enthalpy at 0 K at 0.76 eV/atom.

Cell lengths 7.100, 7.100, 7.100 Å; angles 60.00, 60.00, 60.00 degrees
Element x y z (fractional)
K 0.000 0.000 0.000
Ca 0.128 0.624 0.624
Ca 0.624 0.128 0.624
Ca 0.624 0.624 0.128
Ca 0.624 0.624 0.624
Co 0.250 0.250 0.250

***

Record 3
KCaCo3 after structural relaxation, computed with PBE-GGA.

The mass density comes out at 3.1 Mg/m³. Its relative energy among the computed polymorphs is 0.0 meV per atom. The calculation puts the formation enthalpy at 0 K at 1.70 eV/atom.

Cell lengths 5.173, 5.173, 5.173 Å; angles 90.00, 90.00, 90.00 degrees
Element x y z (fractional)
K 0.000 0.000 0.000
Ca 0.500 0.500 0.500
Co 0.000 0.500 0.500
Co 0.500 0.000 0.500
Co 0.500 0.500 0.000

***

Record 4
KCaCo3 after structural relaxation, computed with PBE-GGA.

The mass density comes out at 3.9 Mg/m³. Its relative energy among the computed polymorphs is 238.3 meV per atom. The calculation puts the formation enthalpy at 0 K at 1.94 eV/atom.

Cell lengths 4.764, 4.764, 4.764 Å; angles 90.00, 90.00, 90.00 degrees
Element x y z (fractional)
K 0.000 0.000 0.000
Ca 0.500 0.500 0.500
Co 0.000 0.000 0.500
Co 0.000 0.500 0.000
Co 0.500 0.000 0.000

***

Record 5
K2CaCo after structural relaxation, computed with PBE-GGA.

The mass density comes out at 2.0 Mg/m³. Its relative energy among the computed polymorphs is 262.0 meV per atom. The calculation puts the formation enthalpy at 0 K at 0.77 eV/atom.

Cell lengths 4.893, 4.893, 6.177 Å; angles 90.00, 90.00, 90.00 degrees
Element x y z (fractional)
K 0.000 0.500 0.000
K 0.500 0.000 0.000
Ca 0.000 0.000 0.500
Co 0.500 0.500 0.500

***

Record 6
K2CaCo after structural relaxation, computed with PBE-GGA.

The mass density comes out at 1.7 Mg/m³. Its relative energy among the computed polymorphs is 142.1 meV per atom. The calculation puts the formation enthalpy at 0 K at 0.65 eV/atom.

Cell lengths 7.730, 7.730, 7.730 Å; angles 150.90, 130.96, 58.04 degrees
Element x y z (fractional)
K 0.000 0.000 0.000
K 0.679 0.179 0.500
Ca 0.351 0.351 0.000
Co 0.204 0.704 0.500